1.
Here is AlInCu after structural relaxation from the Alexandria database. Energies are from PBE.

Values from the calculation:
SG = I4mm, No. 107
energy of formation = 0.079 eV per atom

a = 6.0258 Å, b = 6.0257 Å, c = 3.0918 Å
α = 75.14°, β = 75.13°, γ = 29.73°
Last column: nearest neighbours and their distance in Å.
Fractional positions:
Al 0.9736 0.9736 0.0264  4 Cu 2.58
Cu 0.3515 0.3515 0.6485  4 Al 2.58
In 0.6749 0.6749 0.3251  4 Cu 2.95, 4 In 3.09, 4 Al 3.15

2.
Here is Al2InCu after structural relaxation from the Alexandria database. Energies are from PBE.

Values from the calculation:
SG = R3m, No. 160
energy of formation = 0.040 eV per atom

a = 4.2082 Å, b = 4.2082 Å, c = 5.5404 Å
α = 67.68°, β = 67.68°, γ = 60.00°
Last column: nearest neighbours and their distance in Å.
Fractional positions:
Al 0.0498 0.0498 0.8505  3 Cu 2.51
Al 0.2835 0.2835 0.1496  3 Cu 2.57, 3 Al 2.85
In 0.4935 0.4935 0.5196  1 Cu 2.69, 3 Al 2.94
Cu 0.6732 0.6732 0.9803  6 Al 2.51-2.57, 1 In 2.69

3.
Here is AlInCu2 after structural relaxation from the Alexandria database. Energies are from PBE.

Values from the calculation:
SG = Pmm2, No. 25
energy of formation = 0.047 eV per atom

a = 3.2309 Å, b = 3.6421 Å, c = 5.4127 Å
α = 90.00°, β = 90.00°, γ = 90.00°
Last column: nearest neighbours and their distance in Å.
Fractional positions:
Al 0.5000 0.5000 0.7882  5 Cu 2.45-2.66
Cu 0.0000 0.0000 0.9884  4 Al 2.66, 2 In 2.67-2.74, 4 Cu 2.79
Cu 0.5000 0.5000 0.2412  1 Al 2.45
In 0.0000 0.0000 0.4822  6 Cu 2.67-2.76, 4 Al 2.94